The following is a DFT calculation (PBE-GGA) of an optimized crystal structure of AlOs2Pd.

a = 6.160 Å, b = 6.160 Å, c = 6.160 Å
α = 90.00°, β = 90.00°, γ = 90.00°
Atoms (fractional coordinates):
Al1 0.000 0.000 0.000
Al2 0.000 0.500 0.500
Al3 0.500 0.000 0.500
Al4 0.500 0.500 0.000
Os1 0.000 0.000 0.500
Os2 0.000 0.500 0.000
Os3 0.250 0.250 0.750
Os4 0.250 0.750 0.250
Os5 0.500 0.000 0.000
Os6 0.500 0.500 0.500
Os7 0.750 0.250 0.250
Os8 0.750 0.750 0.750
Pd1 0.250 0.250 0.250
Pd2 0.250 0.750 0.750
Pd3 0.750 0.250 0.750
Pd4 0.750 0.750 0.250

Output
- Total DFT energy (no corrections): -123.86 eV for the cell shown
- Calculated density: 14605 kg/m³
- Crystal system: cubic

The following is a DFT calculation (PBE-GGA) of an optimized crystal structure of HfBe3Pd2.

a = 2.916 Å, b = 2.916 Å, c = 8.861 Å
α = 90.00°, β = 90.00°, γ = 90.00°
Atoms (fractional coordinates):
Hf1 0.000 0.000 0.000
Be1 0.000 0.000 0.374
Be2 0.500 0.500 0.508
Be3 0.500 0.500 0.793
Pd1 0.000 0.000 0.650
Pd2 0.500 0.500 0.234

Output
- Total DFT energy (no corrections): -33.75 eV for the cell shown
- Calculated density: 9218 kg/m³
- Crystal system: tetragonal

The following is a DFT calculation (PBE-GGA) of an optimized crystal structure of KLiTePd.

a = 7.313 Å, b = 7.313 Å, c = 7.313 Å
α = 90.00°, β = 90.00°, γ = 90.00°
Atoms (fractional coordinates):
K1 0.000 0.000 0.000
K2 0.000 0.500 0.500
K3 0.500 0.000 0.500
K4 0.500 0.500 0.000
Li1 0.000 0.000 0.500
Li2 0.000 0.500 0.000
Li3 0.500 0.000 0.000
Li4 0.500 0.500 0.500
Te1 0.250 0.250 0.250
Te2 0.250 0.750 0.750
Te3 0.750 0.250 0.750
Te4 0.750 0.750 0.250
Pd1 0.250 0.250 0.750
Pd2 0.250 0.750 0.250
Pd3 0.750 0.250 0.250
Pd4 0.750 0.750 0.750

Output
- Total DFT energy (no corrections): -48.92 eV for the cell shown
- Calculated density: 4756 kg/m³
- Crystal system: cubic
- Excess energy over the best structure of this formula in the dataset: 0.2288 eV per atom

The following is a DFT calculation (PBE-GGA) of an optimized crystal structure of LiLaGeAu2.

a = 4.339 Å, b = 4.339 Å, c = 11.210 Å
α = 90.00°, β = 90.00°, γ = 90.00°
Atoms (fractional coordinates):
Li1 0.000 0.000 0.000
Li2 0.500 0.500 0.500
La1 0.000 0.500 0.250
La2 0.500 0.000 0.750
Ge1 0.000 0.000 0.500
Ge2 0.500 0.500 0.000
Au1 0.000 0.500 0.627
Au2 0.000 0.500 0.873
Au3 0.500 0.000 0.127
Au4 0.500 0.000 0.373

Output
- Total DFT energy (no corrections): -42.45 eV for the cell shown
- Calculated density: 9636 kg/m³
- Crystal system: tetragonal

The following is a DFT calculation (PBE-GGA) of an optimized crystal structure of LiAl2Pd.

a = 4.313 Å, b = 4.313 Å, c = 6.083 Å
α = 90.00°, β = 90.00°, γ = 90.00°
Atoms (fractional coordinates):
Li1 0.000 0.000 0.000
Li2 0.500 0.500 0.500
Al1 0.000 0.500 0.250
Al2 0.000 0.500 0.750
Al3 0.500 0.000 0.250
Al4 0.500 0.000 0.750
Pd1 0.000 0.000 0.500
Pd2 0.500 0.500 0.000

Output
- Total DFT energy (no corrections): -34.24 eV for the cell shown
- Calculated density: 4911 kg/m³
- Crystal system: tetragonal
- Excess energy over the best structure of this formula in the dataset: 0.0000 eV per atom

The following is a DFT calculation (PBE-GGA) of an optimized crystal structure of GdScAu4.

a = 3.655 Å, b = 3.655 Å, c = 8.964 Å
α = 90.00°, β = 90.00°, γ = 90.00°
Atoms (fractional coordinates):
Gd1 0.000 0.000 0.000
Sc1 0.500 0.500 0.500
Au1 0.000 0.000 0.343
Au2 0.000 0.000 0.657
Au3 0.500 0.500 0.174
Au4 0.500 0.500 0.826

Output
- Total DFT energy (no corrections): -28.94 eV for the cell shown
- Formation energy: -78.73 kJ/mol of atoms
- Calculated density: 13731 kg/m³
- Crystal system: tetragonal

The following is a DFT calculation (PBE-GGA) of an optimized crystal structure of Th2Ir7.

a = 13.681 Å, b = 13.681 Å, c = 13.681 Å
α = 22.59°, β = 22.59°, γ = 22.59°
Atoms (fractional coordinates):
Th1 0.050 0.050 0.050
Th2 0.147 0.147 0.147
Th3 0.853 0.853 0.853
Th4 0.950 0.950 0.950
Ir1 0.000 0.500 0.500
Ir2 0.108 0.610 0.610
Ir3 0.278 0.278 0.278
Ir4 0.389 0.389 0.389
Ir5 0.390 0.390 0.892
Ir6 0.390 0.892 0.390
Ir7 0.500 0.000 0.500
Ir8 0.500 0.500 0.000
Ir9 0.500 0.500 0.500
Ir10 0.610 0.108 0.610
Ir11 0.610 0.610 0.108
Ir12 0.611 0.611 0.611
Ir13 0.722 0.722 0.722
Ir14 0.892 0.390 0.390

Output
- Total DFT energy (no corrections): -164.61 eV for the cell shown
- Formation energy: -58.92 kJ/mol of atoms
- Calculated density: 18133 kg/m³
- Crystal system: trigonal

The following is a DFT calculation (PBE-GGA) of an optimized crystal structure of Cs2GaAgCl6.

a = 7.331 Å, b = 7.331 Å, c = 7.331 Å
α = 60.00°, β = 60.00°, γ = 60.00°
Atoms (fractional coordinates):
Cs1 0.250 0.250 0.250
Cs2 0.750 0.750 0.750
Ga1 0.000 0.000 0.000
Ag1 0.500 0.500 0.500
Cl1 0.233 0.233 0.767
Cl2 0.233 0.767 0.233
Cl3 0.233 0.767 0.767
Cl4 0.767 0.233 0.233
Cl5 0.767 0.233 0.767
Cl6 0.767 0.767 0.233

Output
- Total DFT energy (no corrections): -32.12 eV for the cell shown
- Calculated density: 3911 kg/m³
- Crystal system: cubic
- Excess energy over the best structure of this formula in the dataset: 0.0000 eV per atom

The following is a DFT calculation (PBE-GGA) of an optimized crystal structure of RbLiTb.

a = 8.092 Å, b = 8.092 Å, c = 8.092 Å
α = 90.00°, β = 90.00°, γ = 90.00°
Atoms (fractional coordinates):
Rb1 0.000 0.000 0.000
Rb2 0.000 0.500 0.500
Rb3 0.500 0.000 0.500
Rb4 0.500 0.500 0.000
Li1 0.250 0.250 0.750
Li2 0.250 0.750 0.250
Li3 0.750 0.250 0.250
Li4 0.750 0.750 0.750
Tb1 0.250 0.250 0.250
Tb2 0.250 0.750 0.750
Tb3 0.750 0.250 0.750
Tb4 0.750 0.750 0.250

Output
- Total DFT energy (no corrections): -16.03 eV for the cell shown
- Calculated density: 3151 kg/m³
- Crystal system: cubic
- Excess energy over the best structure of this formula in the dataset: 0.3229 eV per atom

The following is a DFT calculation (PBE-GGA) of an optimized crystal structure of Gd3Mg3Cd2Au.

a = 7.515 Å, b = 7.515 Å, c = 4.564 Å
α = 90.00°, β = 90.00°, γ = 120.00°
Atoms (fractional coordinates):
Gd1 0.000 0.407 0.000
Gd2 0.407 0.000 0.000
Gd3 0.593 0.593 0.000
Mg1 0.000 0.765 0.500
Mg2 0.235 0.235 0.500
Mg3 0.765 0.000 0.500
Cd1 0.333 0.667 0.500
Cd2 0.667 0.333 0.500
Au1 0.000 0.000 0.000

Output
- Total DFT energy (no corrections): -27.15 eV for the cell shown
- Calculated density: 7188 kg/m³
- Crystal system: hexagonal

The following is a DFT calculation (PBE-GGA) of an optimized crystal structure of Na4BiSbAu2.

a = 5.839 Å, b = 9.316 Å, c = 7.675 Å
α = 90.00°, β = 90.00°, γ = 90.00°
Atoms (fractional coordinates):
Na1 0.000 0.181 0.000
Na2 0.000 0.319 0.500
Na3 0.000 0.681 0.500
Na4 0.000 0.819 0.000
Na5 0.500 0.184 0.672
Na6 0.500 0.316 0.172
Na7 0.500 0.684 0.172
Na8 0.500 0.816 0.672
Bi1 0.000 0.000 0.638
Bi2 0.000 0.500 0.138
Sb1 0.500 0.000 0.029
Sb2 0.500 0.500 0.529
Au1 0.249 0.000 0.326
Au2 0.249 0.500 0.826
Au3 0.751 0.000 0.326
Au4 0.751 0.500 0.826

Output
- Total DFT energy (no corrections): -46.64 eV for the cell shown
- Calculated density: 6496 kg/m³
- Crystal system: orthorhombic

The following is a DFT calculation (PBE-GGA) of an optimized crystal structure of Tb3PbC.

a = 4.942 Å, b = 4.942 Å, c = 4.942 Å
α = 90.00°, β = 90.00°, γ = 90.00°
Atoms (fractional coordinates):
Tb1 0.000 0.000 0.500
Tb2 0.000 0.500 0.000
Tb3 0.500 0.000 0.000
Pb1 0.500 0.500 0.500
C1 0.000 0.000 0.000

Output
- Total DFT energy (no corrections): -29.46 eV for the cell shown
- Calculated density: 9576 kg/m³
- Crystal system: cubic

> The highest calculated density belongs to which entry?

Th2Ir7